This record from the Alexandria database describes a relaxed structure of LiCd2W. The functional is PBE.

Energy of formation from the pure elements ... 278 meV per atom
Total energy ... -3.90 eV/atom
Offset from the most stable computed form ... 27 meV/atom
M_tot ... 0.00 μB/atom

Cell lengths 10.0381, 10.0381, 10.0381 Å; angles 16.64, 16.64, 16.64 degrees
Atoms (fractional coordinates):
1 Cd 0.9983 0.9983 0.9983
2 Cd 0.5017 0.5017 0.5017
3 Li 0.2500 0.2500 0.2500
4 W 0.7500 0.7500 0.7500